Entry 1:
An optimized crystal structure of ScSnTe4, computed with PBE-GGA.

Space group ... Cmcm
Final energy ... -49.6 eV for the cell shown
Total magnetic moment ... 0.000 μB/atom
Calculated volume ... 36.85 Å³/atom

Cell: 7.4683 7.4683 7.9870 Å, 90.00 90.00 96.98°
Atoms (fractional coordinates):
Sc 0.0106 0.9894 0.7500
Sc 0.9894 0.0106 0.2500
Sn 0.3737 0.6263 0.2500
Sn 0.6263 0.3737 0.7500
Te 0.1845 0.8155 0.0091
Te 0.1845 0.8155 0.4909
Te 0.2516 0.3297 0.7500
Te 0.3297 0.2516 0.2500
Te 0.6703 0.7484 0.7500
Te 0.7484 0.6703 0.2500
Te 0.8155 0.1845 0.5091
Te 0.8155 0.1845 0.9909

Entry 2:
An optimized crystal structure of Sc10Sn3Te3, computed with PBE-GGA.

Space group ... P-62m
Final energy ... -97.1 eV for the cell shown
Total magnetic moment ... 0.094 μB/atom
Calculated volume ... 23.06 Å³/atom

Cell: 8.4848 8.4848 5.9186 Å, 90.00 90.00 120.00°
Atoms (fractional coordinates):
Sc 0.0000 0.2434 0.0000
Sc 0.0000 0.7546 0.5000
Sc 0.2434 0.0000 0.0000
Sc 0.2454 0.2454 0.5000
Sc 0.3333 0.6667 0.2491
Sc 0.3333 0.6667 0.7509
Sc 0.6667 0.3333 0.2491
Sc 0.6667 0.3333 0.7509
Sc 0.7546 0.0000 0.5000
Sc 0.7566 0.7566 0.0000
Sn 0.0000 0.6111 0.0000
Sn 0.3889 0.3889 0.0000
Sn 0.6111 0.0000 0.0000
Te 0.0000 0.3865 0.5000
Te 0.3865 0.0000 0.5000
Te 0.6135 0.6135 0.5000

Entry 3:
An optimized crystal structure of Sc3SnTe2, computed with PBE-GGA.

Space group ... C2/m
Offset from the most stable computed form ... 0.0 kJ per mole of atoms
Total magnetic moment ... 0.000 μB/atom
Calculated volume ... 25.67 Å³/atom

Cell: 7.2225 7.2225 7.2336 Å, 99.55 99.55 120.07°
Atoms (fractional coordinates):
Sc 0.0780 0.4194 0.7592
Sc 0.2372 0.2372 0.2383
Sc 0.4194 0.0780 0.7592
Sc 0.5806 0.9220 0.2408
Sc 0.7628 0.7628 0.7617
Sc 0.9220 0.5806 0.2408
Sn 0.1675 0.8325 0.0000
Sn 0.8325 0.1675 0.0000
Te 0.0000 0.0000 0.5000
Te 0.3361 0.6639 0.5000
Te 0.5000 0.5000 0.0000
Te 0.6639 0.3361 0.5000

Entry 4:
An optimized crystal structure of ScSn2Te4, computed with PBE-GGA.

Space group ... I4/mmm
Offset from the most stable computed form ... 20.1 kJ per mole of atoms
Total magnetic moment ... 0.000 μB/atom
Calculated volume ... 35.02 Å³/atom

Cell: 5.7458 5.7458 14.8489 Å, 90.00 90.00 90.00°
Atoms (fractional coordinates):
Sc 0.0000 0.0000 0.0000
Sc 0.5000 0.5000 0.5000
Sn 0.0000 0.0000 0.3844
Sn 0.0000 0.0000 0.6156
Sn 0.5000 0.5000 0.1156
Sn 0.5000 0.5000 0.8844
Te 0.0000 0.0000 0.1922
Te 0.0000 0.0000 0.8078
Te 0.0000 0.5000 0.0000
Te 0.0000 0.5000 0.5000
Te 0.5000 0.0000 0.0000
Te 0.5000 0.0000 0.5000
Te 0.5000 0.5000 0.3078
Te 0.5000 0.5000 0.6922

no.,Fermi-level density of states (states/eV per atom)
1,0.65
2,0.89
3,0.31
4,0.83